1.
Computed, not measured: NaLiUSe3 after structural relaxation at the PBE level of DFT.

Output
E_tot = -32.21 eV/f.u.
ΔE_f (raw) = -7.2 eV/f.u.

```
12
Lattice="7.428 0.000 0.000 0.000 4.179 0.000 -1.716 0.000 10.223" Properties=species:S:1:pos:R:3 pbc="T T T"
Na 0.583 1.045 1.828
Na 5.130 3.134 8.395
Li 0.231 3.134 5.721
Li 5.481 1.045 4.501
U 1.401 1.045 8.440
U 4.312 3.134 1.782
Se -0.857 1.045 6.868
Se 0.338 3.134 10.166
Se 2.527 3.134 6.959
Se 3.186 1.045 3.264
Se 5.374 1.045 0.057
Se 6.570 3.134 3.354
```

2.
Computed, not measured: Na2Li2USe4 after structural relaxation at the PBE level of DFT.

Output
E_tot = -42.41 eV/f.u.
ΔE_f (raw) = -10.7 eV/f.u.

```
9
Lattice="7.660 -2.081 0.000 7.660 2.081 0.000 -3.514 0.000 6.861" Properties=species:S:1:pos:R:3 pbc="T T T"
Na 2.138 0.000 0.290
Na 9.668 0.000 6.572
Li 3.072 0.000 3.559
Li 8.734 0.000 3.303
U -1.757 0.000 3.431
Se 0.774 0.000 4.763
Se 6.772 0.000 1.694
Se 5.034 0.000 5.167
Se 11.032 0.000 2.098
```

3.
Computed, not measured: NaLi2VSe4 after structural relaxation at the PBE level of DFT.

Output
E_tot = -35.51 eV/f.u.
ΔE_f (raw) = -7.3 eV/f.u.

```
8
Lattice="-3.183 3.183 5.142 3.183 -3.183 5.142 3.183 3.183 -5.142" Properties=species:S:1:pos:R:3 pbc="T T T"
Na 0.000 0.000 0.000
Li 3.183 0.000 2.571
Li 0.000 3.183 2.571
V 0.000 0.000 5.142
Se 1.859 1.859 -1.330
Se 1.324 -1.324 6.473
Se 1.324 1.324 3.812
Se -1.324 1.324 6.473
```

4.
Computed, not measured: Na2LiWSe after structural relaxation at the PBE level of DFT.

Output
E_tot = -17.49 eV/f.u.
ΔE_f (raw) = 3.5 eV/f.u.

```
5
Lattice="5.567 0.000 0.000 0.000 5.567 0.000 0.000 0.000 4.767" Properties=species:S:1:pos:R:3 pbc="T T T"
Na 0.000 2.783 0.000
Na 2.783 0.000 0.000
Li 0.000 0.000 2.384
W 2.783 2.783 2.384
Se 0.000 0.000 0.000
```

5.
Computed, not measured: NaLiY2Se4 after structural relaxation at the PBE level of DFT.

Output
E_tot = -43.70 eV/f.u.
ΔE_f (raw) = -13.6 eV/f.u.

```
16
Lattice="-4.103 4.141 5.833 4.103 -4.141 5.833 4.103 4.141 -5.833" Properties=species:S:1:pos:R:3 pbc="T T T"
Na -2.052 2.070 2.917
Na 2.052 2.070 2.917
Li 0.000 0.000 0.000
Li 0.000 4.141 0.000
Y 2.052 2.070 -2.917
Y 2.052 -2.070 2.917
Y 4.103 0.000 0.000
Y 0.000 0.000 5.833
Se 4.103 -0.073 2.894
Se 4.103 4.067 -2.894
Se 2.072 2.070 -0.047
Se 6.135 2.070 -0.047
Se -2.031 2.070 5.881
Se 2.031 2.070 5.881
Se 0.000 0.073 8.727
Se 0.000 4.214 2.939
```

6.
Computed, not measured: Na2Li2ZrSe4 after structural relaxation at the PBE level of DFT.

Output
E_tot = -40.13 eV/f.u.
ΔE_f (raw) = -11.2 eV/f.u.

```
9
Lattice="7.520 -1.994 0.000 7.520 1.994 0.000 -3.416 0.000 6.821" Properties=species:S:1:pos:R:3 pbc="T T T"
Na 2.131 0.000 0.261
Na 9.492 0.000 6.560
Li 3.041 0.000 3.572
Li 8.583 0.000 3.249
Zr -1.708 0.000 3.411
Se 0.708 0.000 4.722
Se 6.647 0.000 1.713
Se 4.976 0.000 5.108
Se 10.915 0.000 2.099
```

7.
Computed, not measured: Na3LiZr3Se8 after structural relaxation at the PBE level of DFT.

Output
E_tot = -78.30 eV/f.u.
ΔE_f (raw) = -18.9 eV/f.u.

```
15
Lattice="3.911 2.258 7.027 -3.911 2.258 7.027 0.000 -4.516 7.027" Properties=species:S:1:pos:R:3 pbc="T T T"
Na -1.956 -1.129 7.027
Na -1.956 1.129 14.054
Na 0.000 2.258 7.027
Li 0.000 0.000 10.541
Zr -3.911 0.000 10.541
Zr -1.956 1.129 3.514
Zr 1.956 1.129 3.514
Se -2.014 -1.163 12.053
Se 0.000 0.000 5.100
Se 0.000 -2.325 9.028
Se -2.014 1.163 9.028
Se 2.014 -1.163 12.053
Se 0.000 2.325 12.053
Se 0.000 0.000 15.982
Se 2.014 1.163 9.028
```

8.
Computed, not measured: NaLi2Si2 after structural relaxation at the PBE level of DFT.

Output
E_tot = -16.27 eV/f.u.
ΔE_f (raw) = -0.3 eV/f.u.
Excess energy over the best structure of this formula in the dataset = 43 meV per atom

```
10
Lattice="7.670 0.000 0.000 0.000 7.670 0.000 0.000 0.000 2.973" Properties=species:S:1:pos:R:3 pbc="T T T"
Na 0.000 0.000 0.000
Na 3.835 3.835 0.000
Li 1.420 2.415 1.486
Li 2.415 6.250 1.486
Li 5.255 1.420 1.486
Li 6.250 5.255 1.486
Si 0.822 4.657 0.000
Si 3.013 0.822 0.000
Si 4.657 6.848 0.000
Si 6.848 3.013 0.000
```

9.
Computed, not measured: NaLiSi after structural relaxation at the PBE level of DFT.

Output
E_tot = -8.34 eV/f.u.
ΔE_f (raw) = 0.3 eV/f.u.
Excess energy over the best structure of this formula in the dataset = 171 meV per atom

```
3
Lattice="-1.596 1.596 5.685 1.596 -1.596 5.685 1.596 1.596 -5.685" Properties=species:S:1:pos:R:3 pbc="T T T"
Na 0.000 0.000 0.000
Li 0.000 0.000 3.322
Si 0.000 0.000 7.727
```

10.
Computed, not measured: NaLi2Si2 after structural relaxation at the PBE level of DFT.

Output
E_tot = -15.84 eV/f.u.
ΔE_f (raw) = 0.2 eV/f.u.
Excess energy over the best structure of this formula in the dataset = 129 meV per atom

```
5
Lattice="-2.186 2.186 5.341 2.186 -2.186 5.341 2.186 2.186 -5.341" Properties=species:S:1:pos:R:3 pbc="T T T"
Na 0.000 0.000 0.000
Li 2.186 0.000 2.671
Li 0.000 2.186 2.671
Si 0.000 0.000 4.244
Si 0.000 0.000 6.439
```

11.
Computed, not measured: NaLiSi after structural relaxation at the PBE level of DFT.

Output
E_tot = -8.72 eV/f.u.
ΔE_f (raw) = -0.1 eV/f.u.
Excess energy over the best structure of this formula in the dataset = 43 meV per atom

```
6
Lattice="3.774 0.000 0.000 0.004 5.663 0.000 1.861 1.441 6.703" Properties=species:S:1:pos:R:3 pbc="T T T"
Na 0.000 0.000 0.000
Na 1.888 4.509 3.143
Li 3.750 4.310 6.165
Li 3.776 1.645 3.669
Si 1.888 1.589 1.805
Si 3.775 2.925 1.329
```

12.
Computed, not measured: Na3LiSi after structural relaxation at the PBE level of DFT.

Output
E_tot = -9.70 eV/f.u.
ΔE_f (raw) = 1.6 eV/f.u.
Excess energy over the best structure of this formula in the dataset = 0 meV per atom

```
5
Lattice="5.619 0.000 0.000 0.000 5.619 0.000 0.000 0.000 5.619" Properties=species:S:1:pos:R:3 pbc="T T T"
Na 0.000 0.000 2.810
Na 0.000 2.810 0.000
Na 2.810 0.000 0.000
Li 2.810 2.810 2.810
Si 0.000 0.000 0.000
```